Crystalline NdY2Ge at its relaxed geometry, computed with PBE-GGA.

* energy above the lowest structure with this stoichiometry: 0 meV per atom
* formation energy: -272 meV/atom
* space-group type: No. 160

a = 3.839 Å, b = 3.839 Å, c = 29.058 Å
α = 90.00°, β = 90.00°, γ = 120.00°
Positions (direct):
Nd 0.000 0.000 0.000
Nd 0.333 0.667 0.667
Nd 0.667 0.333 0.333
Y 0.000 0.000 0.231
Y 0.000 0.000 0.438
Y 0.333 0.667 0.105
Y 0.333 0.667 0.898
Y 0.667 0.333 0.564
Y 0.667 0.333 0.772
Ge 0.000 0.000 0.835
Ge 0.333 0.667 0.502
Ge 0.667 0.333 0.168

Crystalline Nd3Si2Pt9Rh at its relaxed geometry, computed with PBE-GGA.

* space-group type: No. 164
* formation energy without anion corrections: -742 meV/atom

a = 5.684 Å, b = 5.684 Å, c = 11.077 Å
α = 90.00°, β = 90.00°, γ = 120.00°
Positions (direct):
Nd 0.000 0.000 0.000
Nd 0.333 0.667 0.579
Nd 0.667 0.333 0.421
Si 0.333 0.667 0.160
Si 0.667 0.333 0.840
Pt 0.000 0.500 0.000
Pt 0.163 0.325 0.309
Pt 0.163 0.837 0.309
Pt 0.325 0.163 0.691
Pt 0.500 0.000 0.000
Pt 0.500 0.500 0.000
Pt 0.675 0.837 0.309
Pt 0.837 0.163 0.691
Pt 0.837 0.675 0.691
Rh 0.000 0.000 0.500

Crystalline LiReSN2 at its relaxed geometry, computed with PBE-GGA.

* energy above the lowest structure with this stoichiometry: 0 meV per atom
* space-group type: No. 123
* formation energy without anion corrections: 10 meV/atom

a = 3.819 Å, b = 3.819 Å, c = 4.991 Å
α = 90.00°, β = 90.00°, γ = 90.00°
Positions (direct):
Li 0.000 0.000 0.000
Re 0.500 0.500 0.500
S 0.500 0.500 0.000
N 0.000 0.500 0.500
N 0.500 0.000 0.500

Crystalline Cu3BiC at its relaxed geometry, computed with PBE-GGA.

* energy above the lowest structure with this stoichiometry: 1478 meV per atom
* formation energy: 2105 meV/atom
* space-group type: No. 221

a = 4.994 Å, b = 4.994 Å, c = 4.994 Å
α = 90.00°, β = 90.00°, γ = 90.00°
Positions (direct):
Cu 0.000 0.000 0.500
Cu 0.000 0.500 0.000
Cu 0.500 0.000 0.000
Bi 0.000 0.000 0.000
C 0.500 0.500 0.500

Crystalline CaPr6Sm2Er at its relaxed geometry, computed with PBE-GGA.

* formation energy: 115 meV/atom
* space-group type: No. 15

a = 9.123 Å, b = 9.123 Å, c = 9.839 Å
α = 93.29°, β = 93.29°, γ = 117.88°
Positions (direct):
Ca 0.025 0.975 0.750
Ca 0.975 0.025 0.250
Pr 0.014 0.559 0.685
Pr 0.130 0.753 0.055
Pr 0.247 0.870 0.445
Pr 0.290 0.501 0.883
Pr 0.441 0.986 0.815
Pr 0.499 0.710 0.617
Pr 0.501 0.290 0.383
Pr 0.559 0.014 0.185
Pr 0.710 0.499 0.117
Pr 0.753 0.130 0.555
Pr 0.870 0.247 0.945
Pr 0.986 0.441 0.315
Sm 0.199 0.307 0.545
Sm 0.307 0.199 0.045
Sm 0.693 0.801 0.955
Sm 0.801 0.693 0.455
Er 0.409 0.591 0.250
Er 0.591 0.409 0.750

Crystalline Tb2Be3Ir2 at its relaxed geometry, computed with PBE-GGA.

* formation energy: -453 meV/atom
* space-group type: No. 12

a = 9.985 Å, b = 4.051 Å, c = 6.027 Å
α = 90.00°, β = 114.01°, γ = 90.00°
Positions (direct):
Tb 0.140 0.000 0.285
Tb 0.360 0.500 0.715
Tb 0.640 0.500 0.285
Tb 0.860 0.000 0.715
Be 0.000 0.500 0.500
Be 0.098 0.500 0.904
Be 0.402 0.000 0.096
Be 0.500 0.000 0.500
Be 0.598 0.000 0.904
Be 0.902 0.500 0.096
Ir 0.165 0.000 0.801
Ir 0.335 0.500 0.199
Ir 0.665 0.500 0.801
Ir 0.835 0.000 0.199

Crystalline GaCoHPt2 at its relaxed geometry, computed with PBE-GGA.

* E_tot: -5.316 eV/atom
* space-group type: No. 123

a = 3.950 Å, b = 3.950 Å, c = 3.799 Å
α = 90.00°, β = 90.00°, γ = 90.00°
Positions (direct):
Ga 0.000 0.000 0.000
Co 0.500 0.500 0.000
H 0.500 0.500 0.500
Pt 0.000 0.500 0.500
Pt 0.500 0.000 0.500

Crystalline Gd2ErAg at its relaxed geometry, computed with PBE-GGA.

* energy above the lowest structure with this stoichiometry: 164 meV per atom
* formation energy: 46 meV/atom
* space-group type: No. 225

a = 7.616 Å, b = 7.616 Å, c = 7.616 Å
α = 90.00°, β = 90.00°, γ = 90.00°
Positions (direct):
Gd 0.250 0.250 0.250
Gd 0.250 0.250 0.750
Gd 0.250 0.750 0.250
Gd 0.250 0.750 0.750
Gd 0.750 0.250 0.250
Gd 0.750 0.250 0.750
Gd 0.750 0.750 0.250
Gd 0.750 0.750 0.750
Er 0.000 0.000 0.000
Er 0.000 0.500 0.500
Er 0.500 0.000 0.500
Er 0.500 0.500 0.000
Ag 0.000 0.000 0.500
Ag 0.000 0.500 0.000
Ag 0.500 0.000 0.000
Ag 0.500 0.500 0.500